1.
Here is crystalline Ac5La4Sm4 at its relaxed geometry from the Alexandria database. Energies are from GGA-PBE.

Summary:
Calculated formation energy in eV/atom: 0.0377
Mass density in Mg/m³: 7.51

Cell and atoms, written as CIF:
```
data_Ac5La4Sm4
_symmetry_space_group_name_H-M 'I 4/m'
_symmetry_Int_Tables_number 87
_symmetry_space_group_name_Hall '-I 4'
_cell_length_a 13.746
_cell_length_b 13.746
_cell_length_c 5.366
_cell_angle_alpha 90.00
_cell_angle_beta 90.00
_cell_angle_gamma 90.00
loop_
_atom_site_label
_atom_site_fract_x
_atom_site_fract_y
_atom_site_fract_z
Ac1 0.000 0.000 0.000
Ac2 0.041 0.804 0.500
La1 0.075 0.613 0.000
Sm1 0.156 0.235 0.000
```



2.
Here is crystalline In3BiCl at its relaxed geometry from the Alexandria database. Energies are from GGA-PBE.

Summary:
E_form (uncorrected) in eV per formula unit: 1.00
Offset from the most stable computed form in meV/atom: 116
Mass density in Mg/m³: 4.30

Cell and atoms, written as CIF:
```
data_In3BiCl
_symmetry_space_group_name_H-M 'P m -3 m'
_symmetry_Int_Tables_number 221
_symmetry_space_group_name_Hall '-P 4 2 3'
_cell_length_a 6.103
_cell_length_b 6.103
_cell_length_c 6.103
_cell_angle_alpha 90.00
_cell_angle_beta 90.00
_cell_angle_gamma 90.00
loop_
_atom_site_label
_atom_site_fract_x
_atom_site_fract_y
_atom_site_fract_z
In1 0.000 0.000 0.500
Bi1 0.000 0.000 0.000
Cl1 0.500 0.500 0.500
```



3.
Here is crystalline Cd2AuO at its relaxed geometry from the Alexandria database. Energies are from GGA-PBE.

Summary:
E_form (uncorrected) in eV per formula unit: -1.61
Mass density in Mg/m³: 9.36

Cell and atoms, written as CIF:
```
data_Cd2AuO
_symmetry_space_group_name_H-M 'I -4 2 d'
_symmetry_Int_Tables_number 122
_symmetry_space_group_name_Hall 'I -4 2bw'
_cell_length_a 6.592
_cell_length_b 6.592
_cell_length_c 7.150
_cell_angle_alpha 90.00
_cell_angle_beta 90.00
_cell_angle_gamma 90.00
loop_
_atom_site_label
_atom_site_fract_x
_atom_site_fract_y
_atom_site_fract_z
Cd1 0.181 0.250 0.125
Au1 0.000 0.000 0.500
O1 0.000 0.000 0.000
```



4.
Here is crystalline KDyO2 at its relaxed geometry from the Alexandria database. Energies are from GGA-PBE.

Summary:
E_form (uncorrected) in eV per formula unit: -11.07
Mass density in Mg/m³: 5.89

Cell and atoms, written as CIF:
```
data_KDyO2
_symmetry_space_group_name_H-M 'R -3 m'
_symmetry_Int_Tables_number 166
_symmetry_space_group_name_Hall '-R 3 2"'
_cell_length_a 3.4848
_cell_length_b 3.4848
_cell_length_c 18.7833
_cell_angle_alpha 90.00
_cell_angle_beta 90.00
_cell_angle_gamma 120.00
loop_
_atom_site_label
_atom_site_fract_x
_atom_site_fract_y
_atom_site_fract_z
K1 0.0000 0.0000 0.0000
Dy1 0.0000 0.0000 0.5000
O1 0.0000 0.0000 0.2284
```



5.
Here is crystalline AcMg2Ge at its relaxed geometry from the Alexandria database. Energies are from GGA-PBE.

Summary:
Calculated formation energy in eV/atom: -0.0774
Offset from the most stable computed form in meV/atom: 272
Mass density in Mg/m³: 5.43

Cell and atoms, written as CIF:
```
data_AcMg2Ge
_symmetry_space_group_name_H-M 'P 4/m m m'
_symmetry_Int_Tables_number 123
_symmetry_space_group_name_Hall '-P 4 2'
_cell_length_a 3.629
_cell_length_b 3.629
_cell_length_c 8.088
_cell_angle_alpha 90.00
_cell_angle_beta 90.00
_cell_angle_gamma 90.00
loop_
_atom_site_label
_atom_site_fract_x
_atom_site_fract_y
_atom_site_fract_z
Ac1 0.000 0.000 0.000
Mg1 0.500 0.500 0.311
Ge1 0.000 0.000 0.500
```



6.
Here is crystalline NbGe3Au at its relaxed geometry from the Alexandria database. Energies are from GGA-PBE.

Summary:
Calculated formation energy in eV/atom: 0.5979
Offset from the most stable computed form in meV/atom: 0
Mass density in Mg/m³: 6.65

Cell and atoms, written as CIF:
```
data_NbGe3Au
_symmetry_space_group_name_H-M 'P m -3 m'
_symmetry_Int_Tables_number 221
_symmetry_space_group_name_Hall '-P 4 2 3'
_cell_length_a 5.025
_cell_length_b 5.025
_cell_length_c 5.025
_cell_angle_alpha 90.00
_cell_angle_beta 90.00
_cell_angle_gamma 90.00
loop_
_atom_site_label
_atom_site_fract_x
_atom_site_fract_y
_atom_site_fract_z
Nb1 0.000 0.000 0.000
Ge1 0.000 0.000 0.500
Au1 0.500 0.500 0.500
```



7.
Here is crystalline BeAgAu4 at its relaxed geometry from the Alexandria database. Energies are from GGA-PBE.

Summary:
Calculated formation energy in eV/atom: -0.0097
Offset from the most stable computed form in meV/atom: 25
Mass density in Mg/m³: 14.72

Cell and atoms, written as CIF:
```
data_BeAgAu4
_symmetry_space_group_name_H-M 'C 1 2/c 1'
_symmetry_Int_Tables_number 15
_cell_length_a 16.632
_cell_length_b 5.238
_cell_length_c 4.790
_cell_angle_alpha 90.00
_cell_angle_beta 101.90
_cell_angle_gamma 90.00
loop_
_symmetry_equiv_pos_as_xyz
'x,y,z'
'-x,-y,-z'
'-x,y,-z+1/2'
'x,-y,z+1/2'
'x+1/2,y+1/2,z'
'-x+1/2,-y+1/2,-z'
'-x+1/2,y+1/2,-z+1/2'
'x+1/2,-y+1/2,z+1/2'
loop_
_atom_site_label
_atom_site_fract_x
_atom_site_fract_y
_atom_site_fract_z
Be1 0.250 0.250 0.000
Ag1 0.000 0.164 0.250
Au1 0.093 0.347 0.820
Au2 0.176 0.149 0.372
```



8.
Here is crystalline LiZn3O3 at its relaxed geometry from the Alexandria database. Energies are from GGA-PBE.

Summary:
E_form (uncorrected) in eV per formula unit: -7.67
Mass density in Mg/m³: 4.34

Cell and atoms, written as CIF:
```
data_LiZn3O3
_symmetry_space_group_name_H-M 'P m -3 n'
_symmetry_Int_Tables_number 223
_symmetry_space_group_name_Hall '-P 4n 2 3'
_cell_length_a 5.772
_cell_length_b 5.772
_cell_length_c 5.772
_cell_angle_alpha 90.00
_cell_angle_beta 90.00
_cell_angle_gamma 90.00
loop_
_atom_site_label
_atom_site_fract_x
_atom_site_fract_y
_atom_site_fract_z
Li1 0.000 0.000 0.000
Zn1 0.000 0.250 0.500
O1 0.000 0.500 0.250
```



9.
Here is crystalline YTi2PdN at its relaxed geometry from the Alexandria database. Energies are from GGA-PBE.

Summary:
E_form (uncorrected) in eV per formula unit: -4.47
Mass density in Mg/m³: 6.20

Cell and atoms, written as CIF:
```
data_YTi2PdN
_symmetry_space_group_name_H-M 'P 4/m m m'
_symmetry_Int_Tables_number 123
_symmetry_space_group_name_Hall '-P 4 2'
_cell_length_a 4.122
_cell_length_b 4.122
_cell_length_c 4.809
_cell_angle_alpha 90.00
_cell_angle_beta 90.00
_cell_angle_gamma 90.00
loop_
_atom_site_label
_atom_site_fract_x
_atom_site_fract_y
_atom_site_fract_z
Y1 0.000 0.000 0.000
Ti1 0.000 0.500 0.500
Pd1 0.500 0.500 0.000
N1 0.000 0.000 0.500
```



10.
Here is crystalline Y3GeCl at its relaxed geometry from the Alexandria database. Energies are from GGA-PBE.

Summary:
E_form (uncorrected) in eV per formula unit: -1.96
Offset from the most stable computed form in meV/atom: 0
Mass density in Mg/m³: 4.73

Cell and atoms, written as CIF:
```
data_Y3GeCl
_symmetry_space_group_name_H-M 'P m -3 m'
_symmetry_Int_Tables_number 221
_symmetry_space_group_name_Hall '-P 4 2 3'
_cell_length_a 5.085
_cell_length_b 5.085
_cell_length_c 5.085
_cell_angle_alpha 90.00
_cell_angle_beta 90.00
_cell_angle_gamma 90.00
loop_
_atom_site_label
_atom_site_fract_x
_atom_site_fract_y
_atom_site_fract_z
Y1 0.000 0.000 0.500
Ge1 0.500 0.500 0.500
Cl1 0.000 0.000 0.000
```



11.
Here is crystalline CaInAg at its relaxed geometry from the Alexandria database. Energies are from GGA-PBE.

Summary:
Calculated formation energy in eV/atom: -0.2510
Mass density in Mg/m³: 5.23

Cell and atoms, written as CIF:
```
data_CaInAg
_symmetry_space_group_name_H-M 'F -4 3 m'
_symmetry_Int_Tables_number 216
_symmetry_space_group_name_Hall 'F -4 2 3'
_cell_length_a 6.935
_cell_length_b 6.935
_cell_length_c 6.935
_cell_angle_alpha 90.00
_cell_angle_beta 90.00
_cell_angle_gamma 90.00
loop_
_atom_site_label
_atom_site_fract_x
_atom_site_fract_y
_atom_site_fract_z
Ca1 0.000 0.000 0.000
In1 0.000 0.000 0.500
Ag1 0.250 0.250 0.250
```



12.
Here is crystalline Y6GaAs2Se3 at its relaxed geometry from the Alexandria database. Energies are from GGA-PBE.

Summary:
E_form (uncorrected) in eV per formula unit: -18.62
Mass density in Mg/m³: 5.51

Cell and atoms, written as CIF:
```
data_Y6GaAs2Se3
_symmetry_space_group_name_H-M 'C 1 2/m 1'
_symmetry_Int_Tables_number 12
_cell_length_a 18.041
_cell_length_b 4.077
_cell_length_c 8.337
_cell_angle_alpha 90.00
_cell_angle_beta 103.49
_cell_angle_gamma 90.00
loop_
_symmetry_equiv_pos_as_xyz
'x,y,z'
'-x,-y,-z'
'-x,y,-z'
'x,-y,z'
'x+1/2,y+1/2,z'
'-x+1/2,-y+1/2,-z'
'-x+1/2,y+1/2,-z'
'x+1/2,-y+1/2,z'
loop_
_atom_site_label
_atom_site_fract_x
_atom_site_fract_y
_atom_site_fract_z
Y1 0.001 0.000 0.246
Y2 0.163 0.500 0.088
Y3 0.170 0.500 0.576
Ga1 0.000 0.500 0.000
As1 0.167 0.000 0.335
Se1 0.000 0.500 0.500
Se2 0.169 0.000 0.832
```



13.
Here is crystalline LiHgI at its relaxed geometry from the Alexandria database. Energies are from GGA-PBE.

Summary:
E_form (uncorrected) in eV per formula unit: -2.26
Offset from the most stable computed form in meV/atom: 0
Mass density in Mg/m³: 4.09

Cell and atoms, written as CIF:
```
data_LiHgI
_symmetry_space_group_name_H-M 'C m c m'
_symmetry_Int_Tables_number 63
_symmetry_space_group_name_Hall '-C 2c 2'
_cell_length_a 4.572
_cell_length_b 24.688
_cell_length_c 4.816
_cell_angle_alpha 90.00
_cell_angle_beta 90.00
_cell_angle_gamma 90.00
loop_
_atom_site_label
_atom_site_fract_x
_atom_site_fract_y
_atom_site_fract_z
Li1 0.000 0.246 0.250
Hg1 0.000 0.050 0.250
I1 0.000 0.190 0.750
```



14.
Here is crystalline Ti3CN at its relaxed geometry from the Alexandria database. Energies are from GGA-PBE.

Summary:
E_form (uncorrected) in eV per formula unit: -4.50
Offset from the most stable computed form in meV/atom: 0
Mass density in Mg/m³: 4.72

Cell and atoms, written as CIF:
```
data_Ti3CN
_symmetry_space_group_name_H-M 'P 21 3'
_symmetry_Int_Tables_number 198
_symmetry_space_group_name_Hall 'P 2ac 2ab 3'
_cell_length_a 6.203
_cell_length_b 6.203
_cell_length_c 6.203
_cell_angle_alpha 90.00
_cell_angle_beta 90.00
_cell_angle_gamma 90.00
loop_
_atom_site_label
_atom_site_fract_x
_atom_site_fract_y
_atom_site_fract_z
Ti1 0.002 0.263 0.366
C1 0.152 0.652 0.848
N1 0.081 0.081 0.081
```



15.
Here is crystalline Hf7In2Re at its relaxed geometry from the Alexandria database. Energies are from GGA-PBE.

Summary:
Calculated formation energy in eV/atom: 0.8566
Mass density in Mg/m³: 10.48

Cell and atoms, written as CIF:
```
data_Hf7In2Re
_symmetry_space_group_name_H-M 'F m -3 m'
_symmetry_Int_Tables_number 225
_symmetry_space_group_name_Hall '-F 4 2 3'
_cell_length_a 10.180
_cell_length_b 10.180
_cell_length_c 10.180
_cell_angle_alpha 90.00
_cell_angle_beta 90.00
_cell_angle_gamma 90.00
loop_
_atom_site_label
_atom_site_fract_x
_atom_site_fract_y
_atom_site_fract_z
Hf1 0.000 0.000 0.000
Hf2 0.000 0.000 0.255
In1 0.250 0.250 0.250
Re1 0.000 0.000 0.500
```



16.
Here is crystalline RePIr2 at its relaxed geometry from the Alexandria database. Energies are from GGA-PBE.

Summary:
Calculated formation energy in eV/atom: -0.0394
Mass density in Mg/m³: 17.74

Cell and atoms, written as CIF:
```
data_RePIr2
_symmetry_space_group_name_H-M 'R 3 m'
_symmetry_Int_Tables_number 160
_symmetry_space_group_name_Hall 'R 3 -2"'
_cell_length_a 2.8232
_cell_length_b 2.8232
_cell_length_c 24.4754
_cell_angle_alpha 90.00
_cell_angle_beta 90.00
_cell_angle_gamma 120.00
loop_
_atom_site_label
_atom_site_fract_x
_atom_site_fract_y
_atom_site_fract_z
Re1 0.0000 0.0000 0.0000
P1 0.0000 0.0000 0.2571
Ir1 0.0000 0.0000 0.5166
Ir2 0.0000 0.0000 0.7545
```



17.
Here is crystalline Ba3PuTh2N6 at its relaxed geometry from the Alexandria database. Energies are from GGA-PBE.

Summary:
E_form (uncorrected) in eV per formula unit: -12.60
Mass density in Mg/m³: 8.66

Cell and atoms, written as CIF:
```
data_Ba3PuTh2N6
_symmetry_space_group_name_H-M 'C 1 2/m 1'
_symmetry_Int_Tables_number 12
_cell_length_a 6.451
_cell_length_b 11.135
_cell_length_c 6.783
_cell_angle_alpha 90.00
_cell_angle_beta 108.51
_cell_angle_gamma 90.00
loop_
_symmetry_equiv_pos_as_xyz
'x,y,z'
'-x,-y,-z'
'-x,y,-z'
'x,-y,z'
'x+1/2,y+1/2,z'
'-x+1/2,-y+1/2,-z'
'-x+1/2,y+1/2,-z'
'x+1/2,-y+1/2,z'
loop_
_atom_site_label
_atom_site_fract_x
_atom_site_fract_y
_atom_site_fract_z
Ba1 0.000 0.000 0.000
Ba2 0.000 0.334 0.000
Pu1 0.000 0.500 0.500
Th1 0.000 0.166 0.500
N1 0.216 0.344 0.680
N2 0.243 0.000 0.687
```



18.
Here is crystalline MnFe3 at its relaxed geometry from the Alexandria database. Energies are from GGA-PBE.

Summary:
Calculated formation energy in eV/atom: 0.0603
Mass density in Mg/m³: 8.22

Cell and atoms, written as CIF:
```
data_MnFe3
_symmetry_space_group_name_H-M 'P 4/m m m'
_symmetry_Int_Tables_number 123
_symmetry_space_group_name_Hall '-P 4 2'
_cell_length_a 2.810
_cell_length_b 2.810
_cell_length_c 5.689
_cell_angle_alpha 90.00
_cell_angle_beta 90.00
_cell_angle_gamma 90.00
loop_
_atom_site_label
_atom_site_fract_x
_atom_site_fract_y
_atom_site_fract_z
Mn1 0.000 0.000 0.000
Fe1 0.000 0.000 0.500
Fe2 0.500 0.500 0.248
```



19.
Here is crystalline Hg2TeMo at its relaxed geometry from the Alexandria database. Energies are from GGA-PBE.

Summary:
E_form (uncorrected) in eV per formula unit: 2.82
Mass density in Mg/m³: 11.04

Cell and atoms, written as CIF:
```
data_Hg2TeMo
_symmetry_space_group_name_H-M 'F -4 3 m'
_symmetry_Int_Tables_number 216
_symmetry_space_group_name_Hall 'F -4 2 3'
_cell_length_a 7.217
_cell_length_b 7.217
_cell_length_c 7.217
_cell_angle_alpha 90.00
_cell_angle_beta 90.00
_cell_angle_gamma 90.00
loop_
_atom_site_label
_atom_site_fract_x
_atom_site_fract_y
_atom_site_fract_z
Hg1 0.000 0.000 0.000
Hg2 0.250 0.250 0.250
Te1 0.000 0.000 0.500
Mo1 0.250 0.250 0.750
```



20.
Here is crystalline KCO3 at its relaxed geometry from the Alexandria database. Energies are from GGA-PBE.

Summary:
E_form (uncorrected) in eV per formula unit: -7.12
Mass density in Mg/m³: 1.95

Cell and atoms, written as CIF:
```
data_KCO3
_symmetry_space_group_name_H-M 'C 1 2/c 1'
_symmetry_Int_Tables_number 15
_cell_length_a 9.950
_cell_length_b 10.568
_cell_length_c 6.565
_cell_angle_alpha 90.00
_cell_angle_beta 102.65
_cell_angle_gamma 90.00
loop_
_symmetry_equiv_pos_as_xyz
'x,y,z'
'-x,-y,-z'
'-x,y,-z+1/2'
'x,-y,z+1/2'
'x+1/2,y+1/2,z'
'-x+1/2,-y+1/2,-z'
'-x+1/2,y+1/2,-z+1/2'
'x+1/2,-y+1/2,z+1/2'
loop_
_atom_site_label
_atom_site_fract_x
_atom_site_fract_y
_atom_site_fract_z
K1 0.000 0.095 0.250
K2 0.000 0.352 0.750
C1 0.228 0.368 0.311
O1 0.141 0.119 0.660
O2 0.160 0.430 0.424
O3 0.163 0.292 0.173
```